# 1
Re2TcRu after structural relaxation. Source: the Alexandria database, functional GGA-PBEsol.

The structure in POSCAR format:
```
Re2TcRu
1.0
2.858 0.000 0.000
0.000 4.475 0.000
0.000 0.000 4.487
Re Ru Tc
2 1 1
direct
0.500 0.000 0.500 Re
0.000 0.000 0.000 Re
0.500 0.500 0.000 Ru
0.000 0.500 0.500 Tc
```

Results
Distance to the lowest polymorph of the same formula in kcal/mol of atoms: 7.57
Total magnetic moment in μB per formula unit: 0.00
E_form in eV per atom: 0.36

# 2
ReTc2Ru after structural relaxation. Source: the Alexandria database, functional GGA-PBEsol.

The structure in POSCAR format:
```
ReTc2Ru
1.0
3.825 0.000 0.000
0.000 3.825 0.000
-1.912 -1.912 3.824
Tc Re Ru
2 1 1
direct
0.000 0.000 0.000 Tc
0.250 0.750 0.500 Tc
0.500 0.500 0.000 Re
0.750 0.250 0.500 Ru
```

Results
Distance to the lowest polymorph of the same formula in kcal/mol of atoms: 0.11
Total magnetic moment in μB per formula unit: 0.00
E_form in eV per atom: 0.04

# 3
Re2TcRu after structural relaxation. Source: the Alexandria database, functional GGA-PBEsol.

The structure in POSCAR format:
```
Re2TcRu
1.0
-0.263 -2.681 0.334
2.554 0.639 -3.889
3.444 0.063 3.215
Tc Re Ru
1 2 1
direct
0.500 0.000 0.000 Tc
0.252 0.504 0.252 Re
0.748 0.496 0.748 Re
0.000 0.000 0.500 Ru
```

Results
Distance to the lowest polymorph of the same formula in kcal/mol of atoms: 0.35
Total magnetic moment in μB per formula unit: 0.00
E_form in eV per atom: 0.05

# 4
ReTc2Ru after structural relaxation. Source: the Alexandria database, functional GGA-PBEsol.

The structure in POSCAR format:
```
ReTc2Ru
1.0
-0.618 -0.832 -3.678
0.359 -3.724 0.782
-3.762 -0.219 0.682
Ru Re Tc
1 1 2
direct
0.000 0.000 0.500 Ru
0.500 0.500 0.500 Re
0.500 0.000 0.000 Tc
0.000 0.500 0.000 Tc
```

Results
Distance to the lowest polymorph of the same formula in kcal/mol of atoms: 0.00
Total magnetic moment in μB per formula unit: 0.00
E_form in eV per atom: 0.04

# 5
Re2TcRu after structural relaxation. Source: the Alexandria database, functional GGA-PBEsol.

The structure in POSCAR format:
```
Re2TcRu
1.0
-1.011 3.600 -0.865
-3.319 -1.278 -1.441
0.523 -0.791 4.607
Re Ru Tc
2 1 1
direct
0.000 0.000 0.000 Re
0.750 0.250 0.500 Re
0.500 0.500 0.000 Ru
0.250 0.750 0.500 Tc
```

Results
Distance to the lowest polymorph of the same formula in kcal/mol of atoms: 0.14
Total magnetic moment in μB per formula unit: 0.00
E_form in eV per atom: 0.04

# 6
Re2TcRu after structural relaxation. Source: the Alexandria database, functional GGA-PBEsol.

The structure in POSCAR format:
```
Re2TcRu
1.0
-1.288 2.020 1.268
-3.718 -1.801 -0.908
0.821 -3.556 3.689
Ru Re Tc
1 2 1
direct
0.542 0.000 0.468 Ru
0.936 0.500 0.264 Re
0.813 0.000 0.991 Re
0.209 0.500 0.778 Tc
```

Results
Distance to the lowest polymorph of the same formula in kcal/mol of atoms: 2.30
Total magnetic moment in μB per formula unit: 0.00
E_form in eV per atom: 0.13

# 7
ReTc2Ru after structural relaxation. Source: the Alexandria database, functional GGA-PBEsol.

The structure in POSCAR format:
```
ReTc2Ru
1.0
3.169 0.000 0.000
0.000 3.169 0.000
0.000 0.000 5.642
Re Ru Tc
1 1 2
direct
0.500 0.500 0.000 Re
0.500 0.500 0.500 Ru
0.000 0.000 0.744 Tc
0.000 0.000 0.256 Tc
```

Results
Distance to the lowest polymorph of the same formula in kcal/mol of atoms: 6.93
Total magnetic moment in μB per formula unit: 0.00
E_form in eV per atom: 0.34

# 8
Re2TcRu after structural relaxation. Source: the Alexandria database, functional GGA-PBEsol.

The structure in POSCAR format:
```
Re2TcRu
1.0
2.715 0.000 0.000
-1.357 4.490 -0.004
0.000 -0.809 4.645
Re Ru Tc
2 1 1
direct
0.248 0.496 0.744 Re
0.000 0.000 0.004 Re
0.500 0.000 0.500 Ru
0.752 0.504 0.252 Tc
```

Results
Distance to the lowest polymorph of the same formula in kcal/mol of atoms: 0.43
Total magnetic moment in μB per formula unit: 0.00
E_form in eV per atom: 0.05